This record from the Alexandria database describes a relaxed structure of ScNi2O4. The functional is GGA+U.

```
data_ScNi2O4
_chemical_formula_sum 'Sc4 Ni8 O16'
_space_group_name_H-M_alt 'P 41 2 2'
_space_group_IT_number 91
_cell_length_a 6.0249
_cell_length_b 6.0249
_cell_length_c 8.6001
_cell_angle_alpha 90.00
_cell_angle_beta 90.00
_cell_angle_gamma 90.00
loop_
_space_group_symop_operation_xyz
'x,y,z'
'-y,x,z+1/4'
'-x,-y,z+1/2'
'y,-x,z+3/4'
'x,-y,-z+1/2'
'-y,-x,-z+1/4'
'-x,y,-z'
'y,x,-z+3/4'
loop_
_atom_site_label
_atom_site_fract_x
_atom_site_fract_y
_atom_site_fract_z
Sc1 0.0000 0.2603 0.0000
Ni1 0.2536 0.2536 0.3750
Ni2 0.2538 0.5000 0.7500
O1 0.0182 0.2542 0.7562
O2 0.2585 0.4959 0.9731
```

Calculated volume: 11.1 A^3/atom
Raw total energy: -173.78 eV/cell
Magnetization: 11.999 μB/cell